## CsBa2SrGa (PBE-GGA)

Data for an optimized crystal structure of CsBa2SrGa.

Its density of states at the Fermi level is 6.8 states/eV/f.u. The total energy is -1.92 eV/atom. As for the volume: 299.2 Å³ per cell. Its crystal system is tetragonal. The calculation puts the formation enthalpy at 0 K at -0.035 eV per atom.

The structure belongs to space group P4/mmm (No. 123); the cell edges are 6.7654, 6.7654 and 6.5370 Å and the angles 90.00°, 90.00° and 90.00°. The distinct sites, in fractional coordinates, are Cs at (0.0000, 0.0000, 0.0000), Ba at (0.0000, 0.5000, 0.5000), Sr at (0.5000, 0.5000, 0.0000) and Ga at (0.5000, 0.5000, 0.5000).

---

## Ac2SmF8 (PBE-GGA)

Data for an optimized crystal structure of Ac2SmF8.

Its density of states at the Fermi level is 1.2 states/eV/f.u. The total energy is -6.37 eV/atom. The uncorrected formation energy comes out at -3828.5 meV/atom. As for the volume: 332.2 Å³ per cell. The value obtained for the offset from the most stable computed form is 0.089 eV per atom. Its crystal system is orthorhombic.

The structure belongs to space group Immm (No. 71); the cell edges are 3.8982, 7.1556 and 11.9090 Å and the angles 90.00°, 90.00° and 90.00°. The distinct sites, in fractional coordinates, are Ac at (0.0000, 0.0000, 0.1722), Sm at (0.0000, 0.0000, 0.5000), F at (0.0000, 0.1862, 0.0000), F at (0.0000, 0.2312, 0.3388) and F at (0.0000, 0.5000, 0.1161).